VASP calculation (PBE) on crystalline HRuF3 at its relaxed geometry.

Summary:
- polymorph energy (0 for the lowest one) (meV per atom) = 0
- crystal system = cubic
- calculated total energy (eV per atom) = -4.3598

a = 4.068 Å, b = 4.068 Å, c = 4.068 Å
α = 90.00°, β = 90.00°, γ = 90.00°
Last column: magnetic moment on the atom in μB.
Sites, in units of the cell vectors:
Ru: 0.000 0.000 0.000  1.82
H: 0.500 0.500 0.500  0.38
F: 0.000 0.500 0.000  0.10
F: 0.000 0.000 0.500  0.06
F: 0.500 0.000 0.000  0.15